SiTe2SN, optimized geometry, DFT PBE-GGA; symmetry = P4/mmm, No. 123; N(E_F) = 0.861 states/eV/atom; final energy = -4.357 eV per atom; raw formation energy = 45.79 kJ per mole of atoms; offset from the most stable computed form = 0 meV/atom
1.0
5.591 0.000 0.000
0.000 5.591 0.000
0.000 0.000 3.269
Si Te S N
1 2 1 1
Cartesian
0.000 0.000 0.000 Si
0.000 2.795 0.000 Te
2.795 0.000 0.000 Te
2.795 2.795 1.634 S
0.000 0.000 1.634 N

***

NpCdPt2, optimized geometry, DFT PBE-GGA; energy of formation = -376 meV/atom; symmetry = P4/mmm, No. 123; N(E_F) = 1.929 states/eV/atom; final energy = -6.861 eV per atom
1.0
5.144 0.000 0.000
0.000 5.144 0.000
0.000 0.000 2.940
Np Cd Pt
1 1 2
Cartesian
0.000 0.000 0.000 Np
2.572 2.572 0.000 Cd
0.000 2.572 1.470 Pt
2.572 0.000 1.470 Pt